Record 1
Y2ZrCd2 (PBE-GGA, optimized geometry); polymorph energy (0 for the lowest one) = 0 meV per atom; V = 263.9 Å³/cell; ΔH_f (0 K) = -0.07 eV/atom
1.0
-5.367 1.622 -6.351
3.546 -6.185 -4.576
-2.393 -2.412 1.406
Zr Cd Y
2 4 4
Direct
0.000 0.000 0.000
0.500 0.500 0.000
0.627 0.127 0.000
0.127 0.373 0.000
0.873 0.627 0.000
0.373 0.873 0.000
0.674 0.826 0.500
0.826 0.326 0.500
0.174 0.674 0.500
0.326 0.174 0.500

***

Record 2
Y2ZrCd (PBE-GGA, optimized geometry); V = 111.0 Å³/cell; ΔH_f (0 K) = -0.02 eV/atom
1.0
3.500 0.000 -0.001
1.750 3.032 -0.001
1.748 1.009 10.462
Zr Y Cd
1 2 1
Direct
0.500 0.500 0.500
0.251 0.251 0.248
0.083 0.083 0.751
0.666 0.666 0.001

***

Record 3
YZr2Cd (PBE-GGA, optimized geometry); V = 96.4 Å³/cell; ΔH_f (0 K) = 0.00 eV/atom
1.0
5.638 0.004 0.000
1.936 5.295 0.000
-3.787 -2.649 3.229
Zr Cd Y
2 1 1
Direct
0.250 0.750 0.500
0.000 0.000 0.000
0.500 0.500 0.000
0.750 0.250 0.500

***

Record 4
YZrCd2 (PBE-GGA, optimized geometry); polymorph energy (0 for the lowest one) = 20 meV per atom; V = 95.1 Å³/cell; ΔH_f (0 K) = -0.15 eV/atom
1.0
5.401 0.125 0.004
-1.242 5.258 0.004
-0.002 -0.003 3.332
Zr Cd Y
1 2 1
Direct
0.000 0.500 0.500
0.000 0.000 0.000
0.500 0.500 0.000
0.500 0.000 0.500

***

Record 5
Y2Zr2Cd (PBE-GGA, optimized geometry); V = 271.5 Å³/cell; ΔH_f (0 K) = 0.14 eV/atom
1.0
-1.926 -2.052 7.157
-2.277 -6.876 -2.584
4.231 -1.651 0.665
Y Zr Cd
4 4 2
Direct
0.341 0.159 0.500
0.159 0.659 0.500
0.659 0.841 0.500
0.841 0.341 0.500
0.637 0.137 0.000
0.863 0.637 0.000
0.137 0.363 0.000
0.363 0.863 0.000
0.500 0.500 0.000
0.000 0.000 0.000

***

Record 6
Y2ZrCd (PBE-GGA, optimized geometry); V = 107.1 Å³/cell; ΔH_f (0 K) = 0.06 eV/atom
1.0
3.344 0.000 0.000
0.000 6.003 0.003
0.000 4.163 5.335
Zr Y Cd
1 2 1
Direct
0.500 0.500 0.500
0.500 0.500 0.000
0.000 0.000 0.000
0.000 0.000 0.500

***

Record 7
YZr2Cd (PBE-GGA, optimized geometry); V = 99.2 Å³/cell; ΔH_f (0 K) = 0.02 eV/atom
1.0
-4.419 3.326 1.009
-4.436 0.953 3.319
2.107 3.705 3.819
Cd Y Zr
1 1 2
Direct
0.510 0.510 0.514
0.760 0.760 0.719
0.988 0.988 0.054
0.241 0.241 0.212

***

Record 8
Y2ZrCd (PBE-GGA, optimized geometry); V = 107.0 Å³/cell; ΔH_f (0 K) = 0.04 eV/atom
1.0
5.806 -0.013 0.023
4.814 3.247 0.023
1.257 0.383 5.662
Zr Y Cd
1 2 1
Direct
0.750 0.750 0.750
0.993 0.993 0.998
0.507 0.507 0.502
0.250 0.250 0.250

***

Record 9
YZrCd3 (PBE-GGA, optimized geometry); polymorph energy (0 for the lowest one) = 0 meV per atom; V = 157.0 Å³/cell; ΔH_f (0 K) = 0.65 eV/atom
1.0
-5.087 0.781 1.614
1.440 -1.110 5.078
1.068 5.221 0.838
Cd Zr Y
3 1 1
Direct
0.500 0.000 0.000
0.000 0.000 0.500
0.000 0.500 0.000
0.000 0.000 0.000
0.500 0.500 0.500

***

Record 10
Y2ZrCd (PBE-GGA, optimized geometry); V = 109.4 Å³/cell; ΔH_f (0 K) = -0.02 eV/atom
1.0
-4.703 6.600 -7.174
-2.327 5.171 -9.219
-5.340 3.581 -8.706
Zr Y Cd
1 2 1
Direct
0.250 0.250 0.250
0.500 0.500 0.500
0.000 0.000 0.000
0.750 0.750 0.750

***

Record 11
Y2ZrCd6 (PBE-GGA, optimized geometry); V = 211.3 Å³/cell; ΔH_f (0 K) = -0.24 eV/atom
1.0
3.335 0.000 0.001
0.002 7.416 4.264
0.000 0.015 8.554
Cd Y Zr
6 2 1
Direct
0.501 0.000 0.329
0.501 0.329 0.000
0.499 0.000 0.671
0.499 0.671 0.000
0.500 0.671 0.329
0.500 0.329 0.671
0.000 0.667 0.667
0.000 0.333 0.333
0.000 0.000 0.000

***

Record 12
Y2ZrCd2 (PBE-GGA, optimized geometry); polymorph energy (0 for the lowest one) = 142 meV per atom; V = 265.9 Å³/cell; ΔH_f (0 K) = 0.08 eV/atom
1.0
8.595 0.000 0.000
0.000 8.595 0.000
0.000 0.000 3.599
Cd Zr Y
4 2 4
Direct
0.652 0.848 0.500
0.152 0.652 0.500
0.348 0.152 0.500
0.848 0.348 0.500
0.000 0.000 0.000
0.500 0.500 0.000
0.352 0.852 0.000
0.852 0.648 0.000
0.148 0.352 0.000
0.648 0.148 0.000

***

Record 13
YbCd3 (PBE-GGA, optimized geometry); V = 194.7 Å³/cell; ΔH_f (0 K) = -0.30 eV/atom
1.0
5.129 0.000 0.000
0.000 6.621 0.000
0.000 3.311 5.733
Cd Yb
6 2
Direct
0.250 0.837 0.837
0.750 0.674 0.163
0.750 0.163 0.163
0.250 0.326 0.837
0.250 0.837 0.326
0.750 0.163 0.674
0.750 0.667 0.667
0.250 0.333 0.333

***

Record 14
YbCd6 (PBE-GGA, optimized geometry); V = 243.4 Å³/cell; ΔH_f (0 K) = 0.27 eV/atom
1.0
-2.760 -5.589 2.748
4.861 2.396 4.128
-4.820 4.743 -0.825
Yb Cd
1 6
Direct
0.000 0.000 0.000
0.250 0.750 0.500
0.250 0.500 0.750
0.750 0.250 0.500
0.750 0.500 0.250
0.500 0.750 0.250
0.500 0.250 0.750

***

Record 15
YbCd3 (PBE-GGA, optimized geometry); V = 94.4 Å³/cell; ΔH_f (0 K) = -0.27 eV/atom
1.0
-2.859 0.035 4.236
2.149 -0.936 4.541
0.524 3.774 3.406
Cd Yb
3 1
Direct
0.250 0.250 0.250
0.750 0.750 0.750
0.500 0.500 0.500
0.000 0.000 0.000

***

Record 16
ZnCd2 (PBE-GGA, optimized geometry); V = 123.2 Å³/cell; ΔH_f (0 K) = 0.11 eV/atom
1.0
-2.297 2.992 3.008
0.153 0.975 -4.722
-5.176 -3.151 -0.819
Cd Zn
4 2
Direct
0.333 0.667 0.250
0.000 0.000 0.000
0.667 0.333 0.750
0.000 0.000 0.500
0.333 0.667 0.750
0.667 0.333 0.250

***

Record 17
ZnCd2 (PBE-GGA, optimized geometry); V = 124.1 Å³/cell; ΔH_f (0 K) = 0.06 eV/atom
1.0
0.106 -10.542 -8.240
4.078 -10.934 -6.548
-2.890 9.492 8.978
Zn Cd
2 4
Direct
0.750 0.250 0.500
0.000 0.000 0.000
0.424 0.424 0.000
0.174 0.674 0.500
0.576 0.576 0.000
0.326 0.826 0.500

***

Record 18
ZnCd2 (PBE-GGA, optimized geometry); V = 62.0 Å³/cell; ΔH_f (0 K) = 0.06 eV/atom
1.0
3.251 0.000 0.000
-1.625 2.815 0.000
0.000 0.000 6.778
Cd Zn
2 1
Direct
0.000 0.000 0.015
0.333 0.667 0.651
0.667 0.333 0.333

***

Record 19
Zn7Cd2 (PBE-GGA, optimized geometry); V = 311.2 Å³/cell; ΔH_f (0 K) = 0.06 eV/atom
1.0
-3.432 3.615 -1.429
-5.081 -0.910 0.492
-2.563 6.038 12.021
Zn Cd
14 4
Direct
0.277 0.277 0.169
0.612 0.612 0.666
0.390 0.390 0.831
0.891 0.388 0.334
0.388 0.891 0.334
0.610 0.610 0.169
0.723 0.723 0.831
0.612 0.109 0.666
0.000 0.500 0.000
0.500 0.000 0.000
0.500 0.500 0.500
0.500 0.500 0.000
0.388 0.388 0.334
0.109 0.612 0.666
0.042 0.042 0.874
0.958 0.958 0.126
0.145 0.145 0.566
0.855 0.855 0.434

***

Record 20
ZnCd15 (PBE-GGA, optimized geometry); V = 354.4 Å³/cell; ΔH_f (0 K) = 0.02 eV/atom
1.0
-0.731 6.189 -0.765
-3.612 -3.106 4.089
6.973 1.749 7.488
Cd Zn
15 1
Direct
0.499 0.501 0.000
0.329 0.165 0.245
0.333 0.667 0.252
0.835 0.671 0.755
0.835 0.165 0.755
0.501 0.003 0.500
0.835 0.165 0.245
0.000 0.000 0.500
0.499 0.999 0.000
0.329 0.165 0.755
0.997 0.499 0.500
0.333 0.667 0.748
0.835 0.671 0.245
0.001 0.501 0.000
0.501 0.499 0.500
0.000 0.000 0.000

***

Record 21
Zn5Cd (PBE-GGA, optimized geometry); polymorph energy (0 for the lowest one) = 23 meV per atom; V = 98.5 Å³/cell; ΔH_f (0 K) = 0.07 eV/atom
1.0
7.426 0.056 0.000
-6.839 2.894 0.000
0.000 0.000 4.505
Cd Zn
1 5
Direct
0.998 0.002 0.000
0.568 0.432 0.500
0.879 0.121 0.500
0.326 0.674 0.000
0.223 0.777 0.500
0.673 0.327 0.000

***

Record 22
ZnCd2 (PBE-GGA, optimized geometry); V = 495.4 Å³/cell; ΔH_f (0 K) = 0.09 eV/atom
1.0
8.882 0.000 0.000
4.441 7.692 0.000
-4.441 -2.564 7.252
Zn Cd
8 16
Direct
0.288 0.788 0.712
0.712 0.212 0.635
0.635 0.788 0.712
0.365 0.212 0.288
0.712 0.212 0.288
0.288 0.135 0.712
0.712 0.865 0.288
0.288 0.788 0.365
0.000 0.000 0.500
0.500 0.000 0.500
0.500 0.500 0.500
0.693 0.557 0.943
0.307 0.443 0.057
0.307 0.807 0.057
0.057 0.557 0.307
0.057 0.193 0.307
0.307 0.443 0.693
0.057 0.193 0.943
0.943 0.807 0.057
0.943 0.443 0.693
0.693 0.193 0.943
0.943 0.807 0.693
0.500 0.000 0.000
0.693 0.557 0.307

***

Record 23
ZnCd7 (PBE-GGA, optimized geometry); polymorph energy (0 for the lowest one) = 3 meV per atom; V = 175.0 Å³/cell; ΔH_f (0 K) = 0.04 eV/atom
1.0
-2.416 -3.989 4.203
-0.570 -6.089 -1.418
3.697 -4.234 2.796
Cd Zn
7 1
Direct
0.500 0.500 0.000
0.000 0.500 0.000
0.000 0.500 0.500
0.500 0.000 0.500
0.500 0.000 0.000
0.500 0.500 0.500
0.000 0.000 0.500
0.000 0.000 0.000

***

Record 24
Zn6Cd (PBE-GGA, optimized geometry); polymorph energy (0 for the lowest one) = 0 meV per atom; V = 471.9 Å³/cell; ΔH_f (0 K) = 0.06 eV/atom
1.0
-2.228 -5.049 -0.059
1.631 -0.808 7.578
-9.772 4.283 2.560
Zn Cd
24 4
Direct
0.250 0.070 0.909
0.982 0.552 0.811
0.018 0.948 0.311
0.518 0.552 0.811
0.750 0.363 0.643
0.750 0.691 0.265
0.250 0.309 0.735
0.750 0.191 0.235
0.018 0.448 0.189
0.518 0.052 0.689
0.250 0.637 0.357
0.250 0.809 0.765
0.750 0.607 0.019
0.482 0.448 0.189
0.250 0.570 0.591
0.750 0.430 0.409
0.750 0.107 0.481
0.250 0.393 0.981
0.250 0.893 0.519
0.982 0.052 0.689
0.750 0.863 0.857
0.250 0.137 0.143
0.482 0.948 0.311
0.750 0.930 0.091
0.250 0.766 0.055
0.750 0.234 0.945
0.250 0.266 0.445
0.750 0.734 0.555